# PBE+U ThV2TcO8, relaxed
data_ThV2TcO8
_chemical_formula_sum 'Th2 V4 Tc2 O16'
_cell_length_a 6.681
_cell_length_b 6.803
_cell_length_c 6.419
_cell_angle_alpha 90.00
_cell_angle_beta 90.00
_cell_angle_gamma 90.00
_symmetry_space_group_name_H-M 'C m m m'
_symmetry_Int_Tables_number 65
_symmetry_space_group_name_Hall '-C 2 2'
loop_
_atom_site_label
_atom_site_type_symbol
_atom_site_fract_x
_atom_site_fract_y
_atom_site_fract_z
Th1 Th 0.000 0.000 0.000
V1 V 0.000 0.500 0.256
Tc1 Tc 0.000 0.000 0.500
O1 O 0.000 0.292 0.500
O2 O 0.000 0.326 0.000
O3 O 0.219 0.000 0.284
# Density of states at the Fermi level: 8.8 states/eV/cell
# Final energy: -8.201 eV per atom
# Size of the total moment: 0.297 μB/atom
# Mass density: 6.4 g/cm3